{
  "formula": "CaFeO3",
  "functional": "PBE with a Hubbard U",
  "state": "optimized geometry",
  "lattice": [[3.837, -0.001, -0.004], [0.001, 3.836, -0.008], [0.004, 0.008, 3.837]],
  "species": ["Fe", "O", "O", "O", "Ca"],
  "fractional_positions": [[0.500, 0.512, 0.502], [0.500, 0.012, 0.502], [0.500, 0.512, 0.002], [0.000, 0.512, 0.502], [0.000, 0.012, 0.002]],
  "total_energy_ev_per_fu": -31.87,
  "magnetic_moment_mub_per_atom": 0.81
}